This record from Alexandria describes a geometry-optimized CsHfIN2 structure. The functional is GGA-PBE.

The structure belongs to space group P4/mmm (No. 123); the cell edges are 4.466, 4.466 and 6.445 Å and the angles 90.00°, 90.00° and 90.00°. Symmetry generates all atoms from Cs at (0.000, 0.000, 0.000), Hf at (0.500, 0.500, 0.500), I at (0.000, 0.000, 0.500) and N at (0.000, 0.500, 0.000).

The density of states at the Fermi level is 3.88 states/eV/cell. For the formation energy (no corrections), the calculation gives 2.37 eV per atom. For the excess energy over the best structure of this formula in the dataset, the calculation gives 2252.5 meV per atom.

This record from Alexandria describes a geometry-optimized CsNa2HfI8 structure. The functional is GGA-PBE.

The structure belongs to space group P-1 (No. 2); the cell edges are 6.774, 7.636 and 10.647 Å and the angles 90.03°, 90.17° and 91.83°. Symmetry generates all atoms from Cs at (0.000, 0.000, 0.000), Na at (0.500, 0.500, 0.277), Hf at (0.000, 0.000, 0.500), I at (0.239, 0.318, 0.499), I at (0.239, 0.854, 0.310), I at (0.241, 0.856, 0.691) and I at (0.250, 0.490, 0.000).

The density of states at the Fermi level is 1.88 states/eV/cell. For the formation energy (no corrections), the calculation gives -1.01 eV per atom.

This record from Alexandria describes a geometry-optimized CsNaHfI2 structure. The functional is GGA-PBE.

The structure belongs to space group P4/mmm (No. 123); the cell edges are 6.022, 6.022 and 6.397 Å and the angles 90.00°, 90.00° and 90.00°. Symmetry generates all atoms from Cs at (0.000, 0.000, 0.000), Na at (0.000, 0.000, 0.500), Hf at (0.500, 0.500, 0.000) and I at (0.000, 0.500, 0.500).

The density of states at the Fermi level is 4.28 states/eV/cell. For the formation energy (no corrections), the calculation gives 0.32 eV per atom.

This record from Alexandria describes a geometry-optimized CsNaHfI6 structure. The functional is GGA-PBE.

The structure belongs to space group P-31c (No. 163); the cell edges are 8.0493, 8.0493 and 16.7506 Å and the angles 90.00°, 90.00° and 120.00°. Symmetry generates all atoms from Cs at (0.0000, 0.0000, 0.0000), Na at (0.3333, 0.6667, 0.2500), Hf at (0.3333, 0.6667, 0.7500) and I at (0.0348, 0.3883, 0.6502).

The density of states at the Fermi level is 0.00 states/eV/cell. For the formation energy (no corrections), the calculation gives -1.13 eV per atom.

This record from Alexandria describes a geometry-optimized CsHfNb2I structure. The functional is GGA-PBE.

The structure belongs to space group P4/mmm (No. 123); the cell edges are 5.067, 5.067 and 7.811 Å and the angles 90.00°, 90.00° and 90.00°. Symmetry generates all atoms from Cs at (0.000, 0.000, 0.000), Hf at (0.000, 0.000, 0.500), Nb at (0.000, 0.500, 0.500) and I at (0.500, 0.500, 0.000).

The density of states at the Fermi level is 7.38 states/eV/cell. For the formation energy (no corrections), the calculation gives 1.42 eV per atom.

This record from Alexandria describes a geometry-optimized CsHfI2O8 structure. The functional is GGA-PBE.

The structure belongs to space group C2/m (No. 12); the cell edges are 11.555, 5.822 and 7.227 Å and the angles 90.00°, 109.61° and 90.00°. Symmetry generates all atoms from Cs at (0.000, 0.000, 0.000), Hf at (0.000, 0.500, 0.500), I at (0.218, 0.000, 0.660), O at (0.098, 0.500, 0.311), O at (0.113, 0.245, 0.683) and O at (0.177, 0.000, 0.398).

The density of states at the Fermi level is 5.48 states/eV/cell. For the formation energy (no corrections), the calculation gives -1.16 eV per atom.

This record from Alexandria describes a geometry-optimized CsHfIO2 structure. The functional is GGA-PBE.

The structure belongs to space group P4/mmm (No. 123); the cell edges are 4.404, 4.404 and 7.106 Å and the angles 90.00°, 90.00° and 90.00°. Symmetry generates all atoms from Cs at (0.000, 0.000, 0.000), Hf at (0.500, 0.500, 0.500), I at (0.000, 0.000, 0.500) and O at (0.000, 0.500, 0.000).

The density of states at the Fermi level is 4.24 states/eV/cell. For the formation energy (no corrections), the calculation gives 0.81 eV per atom. For the excess energy over the best structure of this formula in the dataset, the calculation gives 2470.3 meV per atom.

This record from Alexandria describes a geometry-optimized CsHf2IO structure. The functional is GGA-PBE.

The structure belongs to space group P4/mmm (No. 123); the cell edges are 5.323, 5.323 and 8.823 Å and the angles 90.00°, 90.00° and 90.00°. Symmetry generates all atoms from Cs at (0.000, 0.000, 0.000), Hf at (0.000, 0.500, 0.500), I at (0.000, 0.000, 0.500) and O at (0.500, 0.500, 0.000).

The density of states at the Fermi level is 10.11 states/eV/cell. For the formation energy (no corrections), the calculation gives 1.36 eV per atom.

This record from Alexandria describes a geometry-optimized CsHfIO2 structure. The functional is GGA-PBE.

The structure belongs to space group P4/mmm (No. 123); the cell edges are 4.437, 4.437 and 5.831 Å and the angles 90.00°, 90.00° and 90.00°. Symmetry generates all atoms from Cs at (0.000, 0.000, 0.000), Hf at (0.500, 0.500, 0.500), I at (0.500, 0.500, 0.000) and O at (0.000, 0.500, 0.500).

For the formation energy (no corrections), the calculation gives -1.66 eV per atom. For the excess energy over the best structure of this formula in the dataset, the calculation gives 0.0 meV per atom.

This record from Alexandria describes a geometry-optimized Cs2HfPdI6 structure. The functional is GGA-PBE.

The structure belongs to space group I4/mmm (No. 139); the cell edges are 8.319, 8.319 and 11.751 Å and the angles 90.00°, 90.00° and 90.00°. Symmetry generates all atoms from Cs at (0.000, 0.500, 0.250), Hf at (0.000, 0.000, 0.000), Pd at (0.000, 0.000, 0.500), I at (0.000, 0.000, 0.246) and I at (0.245, 0.245, 0.000).

The density of states at the Fermi level is 0.00 states/eV/cell. For the formation energy (no corrections), the calculation gives -0.95 eV per atom.

This record from Alexandria describes a geometry-optimized Cs2HfPtI6 structure. The functional is GGA-PBE.

The structure belongs to space group Fm-3m (No. 225); the cell edges are 11.716, 11.716 and 11.716 Å and the angles 90.00°, 90.00° and 90.00°. Symmetry generates all atoms from Cs at (0.250, 0.250, 0.250), Hf at (0.000, 0.000, 0.000), Pt at (0.000, 0.000, 0.500) and I at (0.000, 0.000, 0.248).

The density of states at the Fermi level is 0.60 states/eV/cell. For the formation energy (no corrections), the calculation gives -0.81 eV per atom.

E values, unit eV for the cell shown, following the record order: -17.2, -37.9, -13.6, -63.2, -25.4, -134.9, -18.2, -20.5, -30.6, -71.3, -140.6.
Calculated density values, unit Mg/m³, following the record order: 6.0, 4.1, 4.2, 3.9, 5.2, 5.0, 5.7, 4.2, 6.8, 5.4, 5.8.